1.
An optimized crystal structure of FeHg2As. Source: Alexandria, functional PBE.

POSCAR file:
```
FeHg2As
1.0
3.122 0.000 0.000
-1.561 2.703 0.000
0.000 0.000 27.858
Fe Hg As
3 6 3
Cartesian
0.000 0.000 0.000
0.000 1.802 18.572
1.561 0.901 9.286
0.000 0.000 7.146
0.000 0.000 20.712
0.000 1.802 11.426
0.000 1.802 25.718
1.561 0.901 2.140
1.561 0.901 16.432
0.000 0.000 13.929
0.000 1.802 4.643
1.561 0.901 23.215
```

- space-group type = R-3m (166)
- total energy (eV/atom) = -2.9494
- energy relative to the elements (eV/atom) = 0.4795
- DOS(E_F) (states/eV/cell) = 7.4
- mass density (g cm⁻³) = 11.3

***

2.
An optimized crystal structure of TmScTlO2. Source: Alexandria, functional PBE.

POSCAR file:
```
TmScTlO2
1.0
3.729 0.000 0.000
0.000 3.729 0.000
0.000 0.000 13.664
Tm Sc Tl O
2 2 2 4
Cartesian
0.000 0.000 0.000
1.865 1.865 6.832
0.000 0.000 4.755
1.865 1.865 11.587
0.000 0.000 9.199
1.865 1.865 2.366
0.000 1.865 5.699
0.000 1.865 12.531
1.865 0.000 5.699
1.865 0.000 12.531
```

- E_form (uncorrected) (eV/atom) = -2.409
- space-group type = I4mm (107)
- total energy (eV/atom) = -7.0261
- DOS(E_F) (states/eV/cell) = 5.2
- mass density (g cm⁻³) = 7.9

***

3.
An optimized crystal structure of LaZrSc2. Source: Alexandria, functional PBE.

POSCAR file:
```
LaZrSc2
1.0
3.505 0.000 0.000
0.000 5.414 0.000
0.000 0.000 5.525
La Zr Sc
1 1 2
Cartesian
0.000 0.000 0.000
1.753 2.707 0.000
0.000 2.707 2.763
1.753 0.000 2.763
```

- energy relative to the lowest polymorph listed for this composition (meV per atom) = 135.4
- space-group type = Pmmm (47)
- total energy (eV/atom) = -6.3468
- energy relative to the elements (eV/atom) = 0.1878
- DOS(E_F) (states/eV/cell) = 7.3
- mass density (g cm⁻³) = 5.1

***

4.
An optimized crystal structure of Sr3PdPb2. Source: Alexandria, functional PBE.

POSCAR file:
```
Sr3PdPb2
1.0
13.505 0.000 0.000
0.000 4.567 0.000
0.000 0.000 13.473
Sr Pd Pb
12 4 8
Cartesian
0.687 1.142 1.664
1.543 3.426 7.354
3.062 1.142 10.692
3.690 3.426 3.956
5.210 1.142 0.617
6.065 3.426 8.400
7.440 1.142 5.073
8.295 3.426 12.856
9.815 1.142 9.518
10.443 3.426 2.781
11.962 1.142 6.120
12.818 3.426 11.810
1.717 1.142 5.011
5.035 3.426 11.748
8.470 1.142 1.725
11.788 3.426 8.462
0.202 3.426 4.134
2.636 3.426 13.377
4.116 1.142 6.641
6.551 1.142 10.871
6.954 3.426 2.603
9.389 3.426 6.833
10.869 1.142 0.096
13.303 1.142 9.339
```

- space-group type = Pnma (62)
- total energy (eV/atom) = -3.4986
- energy relative to the elements (eV/atom) = -0.5561
- DOS(E_F) (states/eV/cell) = 23.9
- mass density (g cm⁻³) = 6.3

***

5.
An optimized crystal structure of La6Ga2N. Source: Alexandria, functional PBE.

POSCAR file:
```
La6Ga2N
1.0
7.157 0.000 0.000
0.000 7.157 0.000
0.000 0.000 11.229
La Ga N
12 4 2
Cartesian
1.390 1.390 1.747
1.390 1.390 9.483
1.725 5.431 0.000
1.853 1.853 5.615
2.188 4.968 3.868
2.188 4.968 7.362
4.968 2.188 3.868
4.968 2.188 7.362
5.304 5.304 5.615
5.431 1.725 0.000
5.767 5.767 1.747
5.767 5.767 9.483
0.000 0.000 4.157
0.000 0.000 7.072
3.578 3.578 1.458
3.578 3.578 9.772
0.000 0.000 0.000
3.578 3.578 5.615
```

- E_form (uncorrected) (eV/atom) = -0.397
- energy relative to the lowest polymorph listed for this composition (meV per atom) = 123.6
- space-group type = P4_2/mnm (136)
- total energy (eV/atom) = -5.2795
- DOS(E_F) (states/eV/cell) = 18.7
- mass density (g cm⁻³) = 5.7

***

6.
An optimized crystal structure of La2CdAu3. Source: Alexandria, functional PBE.

POSCAR file:
```
La2CdAu3
1.0
0.000 4.873 8.378
3.677 0.000 8.378
3.677 4.873 0.000
La Cd Au
4 2 6
Cartesian
5.566 4.873 8.378
1.838 2.437 4.189
5.515 7.310 12.567
1.788 4.873 8.378
3.677 4.873 5.588
3.677 4.873 11.168
3.677 4.873 2.803
3.677 2.463 6.970
3.677 2.463 9.786
3.677 7.284 6.970
3.677 7.284 9.786
3.677 4.873 13.953
```

- energy relative to the lowest polymorph listed for this composition (meV per atom) = 0.0
- space-group type = Fmmm (69)
- total energy (eV/atom) = -4.1431
- energy relative to the elements (eV/atom) = -0.7095
- DOS(E_F) (states/eV/cell) = 11.5
- mass density (g cm⁻³) = 10.9

***

7.
An optimized crystal structure of Al2FeRe. Source: Alexandria, functional PBE.

POSCAR file:
```
Al2FeRe
1.0
2.659 0.000 0.000
0.000 4.096 0.000
-0.820 0.000 5.047
Al Fe Re
2 1 1
Cartesian
0.291 0.000 1.292
1.548 0.000 3.755
-0.410 2.048 2.524
1.330 2.048 0.000
```

- energy relative to the lowest polymorph listed for this composition (meV per atom) = 53.9
- space-group type = P2/m (10)
- total energy (eV/atom) = -7.2238
- energy relative to the elements (eV/atom) = -0.1248
- DOS(E_F) (states/eV/cell) = 2.3
- mass density (g cm⁻³) = 8.9

***

8.
An optimized crystal structure of Ce6Ge3Bi. Source: Alexandria, functional PBE.

POSCAR file:
```
Ce6Ge3Bi
1.0
4.758 -7.332 0.000
4.758 7.332 0.000
0.000 0.000 7.952
Ce Ge Bi
12 6 2
Cartesian
4.758 7.175 3.976
2.759 3.093 7.820
2.764 0.604 4.854
4.758 3.073 4.698
2.764 -0.604 0.877
6.756 3.093 7.820
2.759 -3.093 3.844
6.751 0.604 4.854
4.758 -3.073 0.722
6.751 -0.604 0.877
6.756 -3.093 3.844
4.758 -7.175 0.000
1.370 1.817 2.171
1.370 -1.817 6.148
4.758 0.999 7.079
4.758 -0.999 3.103
8.145 1.817 2.171
8.145 -1.817 6.148
4.758 4.768 1.884
4.758 -4.768 5.860
```

- space-group type = Cmc2_1 (36)
- total energy (eV/atom) = -5.8332
- energy relative to the elements (eV/atom) = -0.4996
- DOS(E_F) (states/eV/cell) = 56.0
- mass density (g cm⁻³) = 7.6

***

9.
An optimized crystal structure of Nb2GaPt9. Source: Alexandria, functional PBE.

POSCAR file:
```
Nb2GaPt9
1.0
3.988 0.000 0.000
0.000 3.988 0.000
0.000 0.000 11.967
Nb Ga Pt
2 1 9
Cartesian
0.000 0.000 2.052
0.000 0.000 9.915
0.000 0.000 5.984
0.000 1.994 0.000
0.000 1.994 3.964
0.000 1.994 8.003
1.994 0.000 0.000
1.994 0.000 3.964
1.994 0.000 8.003
1.994 1.994 1.990
1.994 1.994 5.984
1.994 1.994 9.977
```

- space-group type = P4/mmm (123)
- total energy (eV/atom) = -7.0286
- energy relative to the elements (eV/atom) = -0.5675
- DOS(E_F) (states/eV/cell) = 7.4
- mass density (g cm⁻³) = 17.5

***

10.
An optimized crystal structure of Zr2AlS6. Source: Alexandria, functional PBE.

POSCAR file:
```
Zr2AlS6
1.0
5.967 0.000 0.000
0.000 5.967 0.000
0.000 0.000 11.152
Zr Al S
4 2 12
Cartesian
0.000 0.000 1.834
0.000 0.000 9.319
2.984 2.984 3.742
2.984 2.984 7.410
0.000 0.000 5.576
2.984 2.984 0.000
1.149 1.149 3.809
1.149 1.149 7.344
1.242 1.242 0.000
1.741 4.226 5.576
1.835 4.133 1.768
1.835 4.133 9.385
4.133 1.835 1.768
4.133 1.835 9.385
4.226 1.741 5.576
4.725 4.725 0.000
4.818 4.818 3.809
4.818 4.818 7.344
```

- E_form (uncorrected) (eV/atom) = -1.104
- space-group type = P4_2/mnm (136)
- total energy (eV/atom) = -6.1713
- DOS(E_F) (states/eV/cell) = 10.2
- mass density (g cm⁻³) = 3.4

***

11.
An optimized crystal structure of NaMgTlSi. Source: Alexandria, functional PBE.

POSCAR file:
```
NaMgTlSi
1.0
7.104 0.000 0.000
0.000 7.104 0.000
0.000 0.000 7.104
Na Mg Tl Si
4 4 4 4
Cartesian
0.000 0.000 0.000
0.000 3.552 3.552
3.552 0.000 3.552
3.552 3.552 0.000
0.000 0.000 3.552
0.000 3.552 0.000
3.552 0.000 0.000
3.552 3.552 3.552
1.776 1.776 1.776
1.776 5.328 5.328
5.328 1.776 5.328
5.328 5.328 1.776
1.776 1.776 5.328
1.776 5.328 1.776
5.328 1.776 1.776
5.328 5.328 5.328
```

- E_form (uncorrected) (eV/atom) = 0.089
- space-group type = F-43m (216)
- total energy (eV/atom) = -2.5868
- DOS(E_F) (states/eV/cell) = 1.6
- mass density (g cm⁻³) = 5.2

***

12.
An optimized crystal structure of AsWSe2Cl. Source: Alexandria, functional PBE.

POSCAR file:
```
AsWSe2Cl
1.0
4.902 0.000 0.000
0.000 4.902 0.000
0.000 0.000 4.693
As W Se Cl
1 1 2 1
Cartesian
0.000 0.000 0.000
2.451 2.451 0.000
0.000 2.451 2.347
2.451 0.000 2.347
0.000 0.000 2.347
```

- E_form (uncorrected) (eV/atom) = 1.655
- energy relative to the lowest polymorph listed for this composition (meV per atom) = 1425.6
- space-group type = P4/mmm (123)
- total energy (eV/atom) = -3.6284
- DOS(E_F) (states/eV/cell) = 4.0
- mass density (g cm⁻³) = 6.7

***

13.
An optimized crystal structure of Zn3CdTe. Source: Alexandria, functional PBE.

POSCAR file:
```
Zn3CdTe
1.0
5.100 0.000 0.000
0.000 5.100 0.000
0.000 0.000 5.100
Zn Cd Te
3 1 1
Cartesian
0.000 0.000 2.550
0.000 2.550 0.000
2.550 0.000 0.000
0.000 0.000 0.000
2.550 2.550 2.550
```

- E_form (uncorrected) (eV/atom) = 0.420
- energy relative to the lowest polymorph listed for this composition (meV per atom) = 0.0
- space-group type = Pm-3m (221)
- total energy (eV/atom) = -1.1556
- DOS(E_F) (states/eV/cell) = 3.3
- mass density (g cm⁻³) = 5.5

***

14.
An optimized crystal structure of Pm3Ge2RuC. Source: Alexandria, functional PBE.

POSCAR file:
```
Pm3Ge2RuC
1.0
3.957 0.000 0.000
0.000 4.924 0.000
0.000 0.000 16.159
Pm Ge Ru C
6 4 2 2
Cartesian
0.000 0.000 0.000
0.000 2.462 2.630
0.000 2.462 13.529
1.978 0.000 5.449
1.978 0.000 10.710
1.978 2.462 8.080
0.000 2.462 5.656
0.000 2.462 10.503
1.978 0.000 2.424
1.978 0.000 13.736
0.000 0.000 8.080
1.978 2.462 0.000
0.000 2.462 0.000
1.978 0.000 8.080
```

- space-group type = Immm (71)
- total energy (eV/atom) = -6.4538
- energy relative to the elements (eV/atom) = -0.4558
- DOS(E_F) (states/eV/cell) = 8.0
- mass density (g cm⁻³) = 7.3

***

15.
An optimized crystal structure of CdReBr2. Source: Alexandria, functional PBE.

POSCAR file:
```
CdReBr2
1.0
3.079 0.000 0.000
-1.539 2.666 0.000
0.000 0.000 33.858
Cd Re Br
3 3 6
Cartesian
0.000 0.000 0.000
0.000 1.777 22.572
1.539 0.889 11.286
0.000 0.000 16.929
0.000 1.777 5.643
1.539 0.889 28.215
0.000 0.000 14.542
0.000 0.000 19.317
0.000 1.777 3.256
0.000 1.777 8.030
1.539 0.889 25.828
1.539 0.889 30.603
```

- E_form (uncorrected) (eV/atom) = 0.478
- energy relative to the lowest polymorph listed for this composition (meV per atom) = 223.1
- space-group type = R-3m (166)
- total energy (eV/atom) = -3.6991
- DOS(E_F) (states/eV/cell) = 7.3
- mass density (g cm⁻³) = 8.2

***

16.
An optimized crystal structure of CdTcPb2Cl. Source: Alexandria, functional PBE.

POSCAR file:
```
CdTcPb2Cl
1.0
5.481 0.000 0.000
0.000 5.481 0.000
0.000 0.000 5.151
Cd Tc Pb Cl
1 1 2 1
Cartesian
0.000 0.000 0.000
2.741 2.741 0.000
0.000 2.741 2.576
2.741 0.000 2.576
0.000 0.000 2.576
```

- E_form (uncorrected) (eV/atom) = 1.008
- space-group type = P4/mmm (123)
- total energy (eV/atom) = -3.1005
- DOS(E_F) (states/eV/cell) = 4.4
- mass density (g cm⁻³) = 7.1

***

17.
An optimized crystal structure of Ca3NdS4. Source: Alexandria, functional PBE.

POSCAR file:
```
Ca3NdS4
1.0
5.717 0.000 0.000
0.000 5.717 0.000
0.000 0.000 11.446
Ca Nd S
6 2 8
Cartesian
0.000 0.000 0.000
0.000 2.859 2.862
0.000 2.859 8.585
2.859 0.000 2.862
2.859 0.000 8.585
2.859 2.859 5.723
0.000 0.000 5.723
2.859 2.859 0.000
0.000 0.000 2.845
0.000 0.000 8.601
0.000 2.859 0.000
0.000 2.859 5.723
2.859 0.000 0.000
2.859 0.000 5.723
2.859 2.859 2.878
2.859 2.859 8.568
```

- E_form (uncorrected) (eV/atom) = -2.090
- energy relative to the lowest polymorph listed for this composition (meV per atom) = 2.9
- space-group type = I4/mmm (139)
- total energy (eV/atom) = -5.5007
- DOS(E_F) (states/eV/cell) = 4.9
- mass density (g cm⁻³) = 3.5

***

18.
An optimized crystal structure of NpZn11Cu. Source: Alexandria, functional PBE.

POSCAR file:
```
NpZn11Cu
1.0
2.556 -6.313 0.000
2.556 6.313 0.000
-2.508 0.000 6.314
Np Zn Cu
1 11 1
Cartesian
0.000 0.000 0.000
-1.254 0.000 3.157
1.278 3.157 0.000
0.060 2.204 2.251
0.062 1.350 4.935
0.060 -2.204 2.251
2.543 1.350 1.380
1.278 -3.157 0.000
0.062 -1.350 4.935
2.545 2.204 4.063
2.543 -1.350 1.380
2.545 -2.204 4.063
1.302 0.000 3.157
```

- space-group type = C2/m (12)
- total energy (eV/atom) = -2.4367
- energy relative to the elements (eV/atom) = -0.0482
- DOS(E_F) (states/eV/cell) = 13.9
- mass density (g cm⁻³) = 8.3

***

19.
An optimized crystal structure of Si2TeIr. Source: Alexandria, functional PBE.

POSCAR file:
```
Si2TeIr
1.0
3.663 0.000 0.000
-1.832 3.172 0.000
0.000 0.000 19.452
Si Te Ir
6 3 3
Cartesian
0.000 0.000 4.506
0.000 0.000 14.946
0.000 2.115 8.462
0.000 2.115 17.475
1.832 1.057 1.978
1.832 1.057 10.991
0.000 0.000 0.000
0.000 2.115 12.968
1.832 1.057 6.484
0.000 0.000 9.726
0.000 2.115 3.242
1.832 1.057 16.210
```

- E_form (uncorrected) (eV/atom) = 0.062
- space-group type = R-3m (166)
- total energy (eV/atom) = -5.6502
- DOS(E_F) (states/eV/cell) = 5.6
- mass density (g cm⁻³) = 8.3

***

20.
An optimized crystal structure of In2IrRu. Source: Alexandria, functional PBE.

POSCAR file:
```
In2IrRu
1.0
3.979 0.000 0.000
0.000 3.979 0.000
0.000 0.000 8.787
In Ir Ru
4 2 2
Cartesian
0.000 0.000 0.000
0.000 1.990 2.197
1.990 0.000 6.590
1.990 1.990 4.394
0.000 1.990 6.590
1.990 0.000 2.197
0.000 0.000 4.394
1.990 1.990 0.000
```

- space-group type = I-4m2 (119)
- total energy (eV/atom) = -5.6764
- energy relative to the elements (eV/atom) = 0.2270
- DOS(E_F) (states/eV/cell) = 8.9
- mass density (g cm⁻³) = 12.5

***

21.
An optimized crystal structure of PrPuIO4. Source: Alexandria, functional PBE.

POSCAR file:
```
PrPuIO4
1.0
7.990 -3.147 0.000
7.990 3.147 0.000
-1.512 0.000 6.454
Pr Pu I O
2 2 2 8
Cartesian
2.961 0.000 2.192
11.507 0.000 4.261
0.542 0.000 4.471
13.926 0.000 1.982
7.426 0.000 1.529
7.042 0.000 4.924
4.369 1.786 2.376
0.369 0.000 2.547
0.747 0.000 6.351
10.099 1.786 4.078
4.369 -1.786 2.376
13.720 0.000 0.103
14.099 0.000 3.906
10.099 -1.786 4.078
```

- E_form (uncorrected) (eV/atom) = -2.444
- space-group type = C2/m (12)
- total energy (eV/atom) = -8.2291
- DOS(E_F) (states/eV/cell) = 12.3
- mass density (g cm⁻³) = 5.9

***

22.
An optimized crystal structure of CeThTe2Se. Source: Alexandria, functional PBE.

POSCAR file:
```
CeThTe2Se
1.0
4.514 0.000 0.000
0.000 4.514 0.000
0.000 0.000 15.030
Ce Th Te Se
2 2 4 2
Cartesian
1.129 1.129 1.339
3.386 3.386 13.692
1.129 1.129 9.421
3.386 3.386 5.609
1.129 1.129 4.520
1.129 1.129 13.148
3.386 3.386 1.882
3.386 3.386 10.511
1.129 3.386 7.515
3.386 1.129 7.515
```

- E_form (uncorrected) (eV/atom) = -1.371
- space-group type = P4/nmm (129)
- total energy (eV/atom) = -5.9958
- DOS(E_F) (states/eV/cell) = 15.7
- mass density (g cm⁻³) = 7.7

***

23.
An optimized crystal structure of Tl2Pt2Se. Source: Alexandria, functional PBE.

POSCAR file:
```
Tl2Pt2Se
1.0
4.328 0.000 0.000
0.000 4.328 0.000
0.000 0.000 12.225
Tl Pt Se
4 4 2
Cartesian
0.000 2.164 3.056
0.000 2.164 9.169
2.164 0.000 3.056
2.164 0.000 9.169
0.000 0.000 1.305
0.000 0.000 10.920
2.164 2.164 4.807
2.164 2.164 7.418
0.000 0.000 6.112
2.164 2.164 0.000
```

- E_form (uncorrected) (eV/atom) = 0.346
- energy relative to the lowest polymorph listed for this composition (meV per atom) = 297.4
- space-group type = I4/mmm (139)
- total energy (eV/atom) = -3.7138
- DOS(E_F) (states/eV/cell) = 5.4
- mass density (g cm⁻³) = 12.7